No. 1
## VZn2Ru2 (GGA-PBE)

Data for an optimized crystal structure of VZn2Ru2.

## Properties
Calculated density (Mg/m³): 8.66
Offset from the most stable computed form (kJ/mol of formula units): 13
Density of states at the Fermi level (states/eV/cell): 8.40
Spin magnetization (μB per atom): 0.000
Electronic total energy (eV per atom): -5.864

Cell: 6.6040 6.6040 3.3747 Å, 90.00 90.00 90.00°
With the nearest neighbours (Å) after each atom.
Space group P4/mbm (No. 127)
Symmetry-distinct sites (fractional):
V: 0.0000 0.0000 0.0000 (multiplicity 2)  4 Ru 2.52
Zn: 0.1513 0.3487 0.5000 (multiplicity 4)  6 Ru 2.52-2.60
Ru: 0.1490 0.6490 0.0000 (multiplicity 4)  6 Zn 2.52-2.60, 2 V 2.52, 1 Ru 2.78


No. 2
## V2ZnRu2 (GGA-PBE)

Data for an optimized crystal structure of V2ZnRu2.

## Properties
Calculated density (Mg/m³): 8.40
Density of states at the Fermi level (states/eV/cell): 8.59
Spin magnetization (μB per atom): 0.000
Electronic total energy (eV per atom): -7.673

Cell: 7.1441 7.1441 2.8604 Å, 90.00 90.00 90.00°
With the nearest neighbours (Å) after each atom.
Space group P4/mbm (No. 127)
Symmetry-distinct sites (fractional):
V: 0.1556 0.3444 0.0000 (multiplicity 4)  6 Ru 2.48-2.57
Zn: 0.0000 0.0000 0.5000 (multiplicity 2)  4 Ru 2.75, 2 Zn 2.86, 8 V 3.06
Ru: 0.1435 0.6435 0.5000 (multiplicity 4)  6 V 2.48-2.57, 2 Zn 2.75


No. 3
## V4ZnRu5 (GGA-PBE)

Data for an optimized crystal structure of V4ZnRu5.

## Properties
Calculated density (Mg/m³): 9.40
Density of states at the Fermi level (states/eV/cell): 8.30
Spin magnetization (μB per atom): 0.000
Electronic total energy (eV per atom): -8.699

Cell: 3.0093 3.0093 15.1121 Å, 90.00 90.00 90.00°
With the nearest neighbours (Å) after each atom.
Space group P4/mmm (No. 123)
Symmetry-distinct sites (fractional):
V: 0.0000 0.0000 0.1012 (multiplicity 2)  8 Ru 2.58-2.62
V: 0.0000 0.0000 0.3053 (multiplicity 2)  8 Ru 2.50-2.68
Zn: 0.0000 0.0000 0.5000 (multiplicity 1)  8 Ru 2.68, 2 V 2.94
Ru: 0.5000 0.5000 0.0000 (multiplicity 1)  8 V 2.62
Ru: 0.5000 0.5000 0.1973 (multiplicity 2)  8 V 2.58-2.68
Ru: 0.5000 0.5000 0.3927 (multiplicity 2)  4 V 2.50, 4 Zn 2.68


No. 4
## V2Zn2Ru (GGA-PBE)

Data for an optimized crystal structure of V2Zn2Ru.

## Properties
Calculated density (Mg/m³): 8.01
Density of states at the Fermi level (states/eV/cell): 4.29
Spin magnetization (μB per atom): 0.000
Electronic total energy (eV per atom): -5.863

Cell: 6.6041 6.6041 3.1732 Å, 90.00 90.00 90.00°
With the nearest neighbours (Å) after each atom.
Space group P4/mbm (No. 127)
Symmetry-distinct sites (fractional):
V: 0.1715 0.3285 0.0000 (multiplicity 4)  6 Zn 2.45-2.56
Zn: 0.1292 0.6292 0.5000 (multiplicity 4)  1 Zn 2.41, 6 V 2.45-2.56, 2 Ru 2.59
Ru: 0.0000 0.0000 0.5000 (multiplicity 2)  4 Zn 2.59


No. 5
## V2ZnRu2 (GGA-PBE)

Data for an optimized crystal structure of V2ZnRu2.

## Properties
Calculated density (Mg/m³): 8.98
Density of states at the Fermi level (states/eV/cell): 17.16
Spin magnetization (μB per atom): 0.000
Electronic total energy (eV per atom): -7.808

Cell: 3.0386 21.1525 4.2506 Å, 90.00 90.00 90.00°
With the nearest neighbours (Å) after each atom.
Space group Cmcm (No. 63)
Symmetry-distinct sites (fractional):
V: 0.0000 0.0525 0.2500 (multiplicity 4)  8 Ru 2.55-2.62
V: 0.0000 0.2438 0.2500 (multiplicity 4)  2 Ru 2.51, 4 V 2.63, 2 Zn 2.69
Zn: 0.0000 0.1512 0.7500 (multiplicity 4)  6 Ru 2.61-2.70, 4 V 2.69-2.89
Ru: 0.0000 0.3509 0.7500 (multiplicity 4)  4 V 2.51-2.55, 4 Zn 2.61
Ru: 0.0000 0.4543 0.2500 (multiplicity 4)  6 V 2.57-2.62, 2 Zn 2.70, 2 Ru 2.87


No. 6
## V2ZnRu4 (GGA-PBE)

Data for an optimized crystal structure of V2ZnRu4.

## Properties
Calculated density (Mg/m³): 7.95
Offset from the most stable computed form (kJ/mol of formula units): 635
Density of states at the Fermi level (states/eV/cell): 11.59
Spin magnetization (μB per atom): 0.118
Electronic total energy (eV per atom): -7.111

Cell: 4.4670 4.4670 11.9629 Å, 90.00 90.00 90.00°
With the nearest neighbours (Å) after each atom.
Space group I4/mmm (No. 139)
Symmetry-distinct sites (fractional):
V: 0.0000 0.0000 0.1208 (multiplicity 4)  1 Ru 2.09
Zn: 0.0000 0.0000 0.5000 (multiplicity 2)  6 Ru 2.23-2.45
Ru: 0.0000 0.0000 0.2953 (multiplicity 4)  1 V 2.09
Ru: 0.0000 0.5000 0.0000 (multiplicity 4)  2 Zn 2.23


No. 7
## V2ZnRu4 (GGA-PBE)

Data for an optimized crystal structure of V2ZnRu4.

## Properties
Calculated density (Mg/m³): 9.32
Offset from the most stable computed form (kJ/mol of formula units): 0
Density of states at the Fermi level (states/eV/cell): 21.51
Spin magnetization (μB per atom): 0.000
Electronic total energy (eV per atom): -8.051

Cell: 4.2086 4.2086 19.9060 Å, 90.00 90.00 120.00°
With the nearest neighbours (Å) after each atom.
Space group R-3m (No. 166, hexagonal axes)
Symmetry-distinct sites (fractional):
V: 0.0000 0.0000 0.2449 (multiplicity 6)  8 Ru 2.41-2.67
Zn: 0.0000 0.0000 0.5000 (multiplicity 3)  8 Ru 2.63-2.66, 6 V 2.89
Ru: 0.0000 0.0000 0.1162 (multiplicity 6)  4 V 2.49-2.56, 3 Zn 2.63
Ru: 0.0000 0.0000 0.3661 (multiplicity 6)  4 V 2.41-2.67, 1 Zn 2.66


No. 8
## V2ZnRu2 (GGA-PBE)

Data for an optimized crystal structure of V2ZnRu2.

## Properties
Calculated density (Mg/m³): 8.40
Density of states at the Fermi level (states/eV/cell): 8.31
Spin magnetization (μB per atom): 0.000
Electronic total energy (eV per atom): -7.602

Cell: 7.1981 7.1981 2.8204 Å, 90.00 90.00 90.00°
With the nearest neighbours (Å) after each atom.
Space group P4/mbm (No. 127)
Symmetry-distinct sites (fractional):
V: 0.1450 0.3550 0.0000 (multiplicity 4)  6 Ru 2.50-2.56, 2 Zn 2.76
Zn: 0.0000 0.0000 0.0000 (multiplicity 2)  4 V 2.76, 2 Zn 2.82, 8 Ru 3.08
Ru: 0.1520 0.6520 0.5000 (multiplicity 4)  6 V 2.50-2.56


No. 9
## ZrVRu (GGA-PBE)

Data for an optimized crystal structure of ZrVRu.

## Properties
Calculated density (Mg/m³): 8.22
Offset from the most stable computed form (kJ/mol of formula units): 83
Density of states at the Fermi level (states/eV/cell): 2.97
Spin magnetization (μB per atom): 0.000
Electronic total energy (eV per atom): -9.101

Cell: 4.3702 4.3702 2.9712 Å, 90.00 90.00 120.00°
With the nearest neighbours (Å) after each atom.
Space group P3m1 (No. 156)
Symmetry-distinct sites (fractional):
Zr: 0.0000 0.0000 0.0000 (multiplicity 1)  3 Ru 2.72, 3 V 2.75, 2 Zr 2.97
V: 0.3333 0.6667 0.3721 (multiplicity 1)  3 Ru 2.66, 3 Zr 2.75, 2 V 2.97
Ru: 0.6667 0.3333 0.6541 (multiplicity 1)  3 V 2.66, 3 Zr 2.72, 2 Ru 2.97


No. 10
## Zr2V3Ru (GGA-PBE)

Data for an optimized crystal structure of Zr2V3Ru.

## Properties
Calculated density (Mg/m³): 7.25
Offset from the most stable computed form (kJ/mol of formula units): 0
Density of states at the Fermi level (states/eV/cell): 23.69
Spin magnetization (μB per atom): 0.000
Electronic total energy (eV per atom): -9.225

Cell: 5.2502 5.2502 12.5574 Å, 90.00 90.00 120.00°
With the nearest neighbours (Å) after each atom.
Space group R-3m (No. 166, hexagonal axes)
Symmetry-distinct sites (fractional):
Zr: 0.0000 0.0000 0.1252 (multiplicity 6)  9 V 3.02-3.06, 3 Ru 3.08, 4 Zr 3.15-3.20
V: 0.0000 0.5000 0.0000 (multiplicity 9)  2 Ru 2.58, 4 V 2.63
Ru: 0.0000 0.0000 0.5000 (multiplicity 3)  6 V 2.58


No. 11
## ZrVRu (GGA-PBE)

Data for an optimized crystal structure of ZrVRu.

## Properties
Calculated density (Mg/m³): 8.18
Offset from the most stable computed form (kJ/mol of formula units): 47
Density of states at the Fermi level (states/eV/cell): 5.01
Spin magnetization (μB per atom): 0.199
Electronic total energy (eV per atom): -9.224

Cell: 4.5730 4.5730 5.4559 Å, 90.00 90.00 120.00°
With the nearest neighbours (Å) after each atom.
Space group P-3m1 (No. 164)
Symmetry-distinct sites (fractional):
Zr: 0.3333 0.6667 0.3233 (multiplicity 2)  5 Ru 2.67-2.78, 3 V 2.81
V: 0.0000 0.0000 0.0000 (multiplicity 1)  2 V 2.73, 6 Ru 2.79
V: 0.0000 0.0000 0.5000 (multiplicity 1)  2 V 2.73, 6 Zr 2.81
Ru: 0.3333 0.6667 0.8335 (multiplicity 2)  5 Zr 2.67-2.78, 3 V 2.79


No. 12
## Zr2V3Ru (GGA-PBE)

Data for an optimized crystal structure of Zr2V3Ru.

## Properties
Calculated density (Mg/m³): 7.25
Offset from the most stable computed form (kJ/mol of formula units): 6
Density of states at the Fermi level (states/eV/cell): 14.35
Spin magnetization (μB per atom): 0.000
Electronic total energy (eV per atom): -9.214

Cell: 5.2919 5.2919 8.2472 Å, 90.00 90.00 120.00°
With the nearest neighbours (Å) after each atom.
Space group P6_3/mmc (No. 194)
Symmetry-distinct sites (fractional):
Zr: 0.3333 0.6667 0.0597 (multiplicity 4)  9 V 2.96-3.08, 3 Ru 3.09, 4 Zr 3.14-3.21
V: 0.1692 0.3384 0.7500 (multiplicity 6)  2 Ru 2.58, 4 V 2.61-2.69
Ru: 0.0000 0.0000 0.0000 (multiplicity 2)  6 V 2.58